No. 1
Entry from the Alexandria database: a geometry-optimized LaFeIr2 structure (PBE-GGA).

a b c (Å): 3.8783 4.3287 4.3287
angles (deg): 90.00 90.00 90.00
Last column: nearest neighbours and their distance in Å.
Fractional positions:
Fe (0.5000, 0.0000, 0.5000)  8 Ir 2.91, 4 La 3.06
Ir (0.0000, 0.0000, 0.0000)  4 La 2.91, 4 Fe 2.91, 4 Ir 3.06
Ir (0.0000, 0.5000, 0.5000)  4 La 2.91, 4 Fe 2.91, 4 Ir 3.06
La (0.5000, 0.5000, 0.0000)  8 Ir 2.91, 4 Fe 3.06

The value obtained for the energy relative to the elements is 0.031 eV/atom. As for the symmetry: P4/mmm. The total magnetic moment is 3.9 μB per cell.

No. 2
Entry from the Alexandria database: a geometry-optimized Sm2TmThS4 structure (PBE-GGA).

a b c (Å): 3.9477 6.9537 6.8724
angles (deg): 109.11 90.00 90.00
Last column: nearest neighbours and their distance in Å.
Fractional positions:
Sm (0.5000, 0.0000, 0.5000)  6 S 2.79-2.80
Sm (0.0000, 0.5000, 0.5000)  6 S 2.88
Tm (0.0000, 0.0000, 0.0000)  6 S 2.75
Th (0.5000, 0.5000, 0.0000)  6 S 2.83
S (0.5000, 0.2374, 0.2400)  2 Tm 2.75, 3 Sm 2.80-2.88, 1 Th 2.83
S (0.5000, 0.7626, 0.7600)  2 Tm 2.75, 3 Sm 2.80-2.88, 1 Th 2.83
S (0.0000, 0.2409, 0.7524)  1 Tm 2.75, 3 Sm 2.79-2.88, 2 Th 2.83
S (0.0000, 0.7591, 0.2476)  1 Tm 2.75, 3 Sm 2.79-2.88, 2 Th 2.83

As for the symmetry: P2/m. The total magnetic moment is 0.0 μB per cell. The uncorrected formation energy is -1.939 eV/atom.

No. 3
Entry from the Alexandria database: a geometry-optimized Nd12SbRh6 structure (PBE-GGA).

a b c (Å): 8.8596 8.8596 8.8596
angles (deg): 109.47 109.47 109.47
Last column: nearest neighbours and their distance in Å.
Fractional positions:
Nd (0.3060, 0.1202, 0.8142)  1 Rh 2.72
Nd (0.3060, 0.4918, 0.1858)  1 Rh 2.72
Nd (0.6940, 0.5082, 0.8142)  1 Rh 2.72
Nd (0.6940, 0.8798, 0.1858)  1 Rh 2.72
Nd (0.1202, 0.8142, 0.3060)  1 Rh 2.72
Nd (0.4918, 0.1858, 0.3060)  1 Rh 2.72
Nd (0.5082, 0.8142, 0.6940)  1 Rh 2.72
Nd (0.8798, 0.1858, 0.6940)  1 Rh 2.72
Nd (0.8142, 0.3060, 0.1202)  1 Rh 2.72
Nd (0.1858, 0.3060, 0.4918)  1 Rh 2.72
Nd (0.8142, 0.6940, 0.5082)  1 Rh 2.72
Nd (0.1858, 0.6940, 0.8798)  1 Rh 2.72
Sb (0.0000, 0.0000, 0.0000)  12 Nd 3.66
Rh (0.3678, 0.5000, 0.8678)  1 Rh 2.70, 2 Nd 2.72
Rh (0.6322, 0.5000, 0.1322)  1 Rh 2.70, 2 Nd 2.72
Rh (0.5000, 0.8678, 0.3678)  1 Rh 2.70, 2 Nd 2.72
Rh (0.5000, 0.1322, 0.6322)  1 Rh 2.70, 2 Nd 2.72
Rh (0.8678, 0.3678, 0.5000)  1 Rh 2.70, 2 Nd 2.72
Rh (0.1322, 0.6322, 0.5000)  1 Rh 2.70, 2 Nd 2.72

As for the symmetry: Im-3. The total magnetic moment is 0.0 μB per cell. The uncorrected formation energy is -0.571 eV/atom.

No. 4
Entry from the Alexandria database: a geometry-optimized TcOs2Pt structure (PBE-GGA).

a b c (Å): 9.1152 9.1152 9.1152
angles (deg): 17.35 17.35 17.35
Last column: nearest neighbours and their distance in Å.
Fractional positions:
Os (0.0001, 0.0001, 0.0001)  9 Os 2.69-2.75, 3 Tc 2.69
Os (0.2529, 0.2529, 0.2529)  9 Os 2.69-2.75, 3 Pt 2.82
Pt (0.4996, 0.4996, 0.4996)  6 Pt 2.75, 3 Tc 2.79, 3 Os 2.82
Tc (0.7475, 0.7475, 0.7475)  3 Os 2.69, 6 Tc 2.75, 3 Pt 2.79

The value obtained for the energy relative to the elements is 0.064 eV/atom. As for the symmetry: R3m. The total magnetic moment is 0.0 μB per cell.

No. 5
Entry from the Alexandria database: a geometry-optimized Nd5Er2Ge4 structure (PBE-GGA).

a b c (Å): 3.8386 8.2934 13.0412
angles (deg): 123.83 98.46 90.00
Last column: nearest neighbours and their distance in Å.
Fractional positions:
Nd (0.1007, 0.7739, 0.2013)  4 Ge 2.95-3.09
Nd (0.8993, 0.2261, 0.7987)  4 Ge 2.95-3.09
Nd (0.1624, 0.3525, 0.3249)  3 Ge 3.04-3.33
Nd (0.5000, 0.0000, 0.0000)  4 Ge 3.04
Nd (0.8376, 0.6475, 0.6751)  3 Ge 3.04-3.33
Er (0.7330, 0.8044, 0.4660)  1 Ge 2.83
Er (0.2670, 0.1956, 0.5340)  1 Ge 2.83
Ge (0.6046, 0.4931, 0.2092)  2 Ge 2.53, 1 Er 2.83
Ge (0.9717, 0.6762, 0.9435)  2 Ge 2.53
Ge (0.3954, 0.5069, 0.7908)  2 Ge 2.53, 1 Er 2.83
Ge (0.0283, 0.3238, 0.0565)  2 Ge 2.53

The value obtained for the energy relative to the elements is -0.283 eV/atom. As for the symmetry: C2/m. The total magnetic moment is 0.0 μB per cell.

No. 6
Entry from the Alexandria database: a geometry-optimized Hg3GeOs structure (PBE-GGA).

a b c (Å): 5.1638 5.1638 5.1638
angles (deg): 90.00 90.00 90.00
Last column: nearest neighbours and their distance in Å.
Fractional positions:
Ge (0.0000, 0.0000, 0.0000)  6 Hg 2.58
Os (0.5000, 0.5000, 0.5000)  12 Hg 3.65
Hg (0.0000, 0.5000, 0.0000)  2 Ge 2.58
Hg (0.0000, 0.0000, 0.5000)  2 Ge 2.58
Hg (0.5000, 0.0000, 0.0000)  2 Ge 2.58

The value obtained for the energy relative to the elements is 1.485 eV/atom. As for the symmetry: Pm-3m. The total magnetic moment is 3.1 μB per cell.

No. 7
Entry from the Alexandria database: a geometry-optimized MgTl2I2Cl2 structure (PBE-GGA).

a b c (Å): 5.0341 5.0341 9.7519
angles (deg): 104.96 104.96 90.00
Last column: nearest neighbours and their distance in Å.
Fractional positions:
Mg (0.0000, 0.0000, 0.0000)  4 Cl 2.52
Tl (0.3633, 0.3633, 0.7266)  4 Cl 3.54, 5 I 3.60-3.61
Tl (0.6367, 0.6367, 0.2735)  4 Cl 3.54, 5 I 3.60-3.61
I (0.1646, 0.1646, 0.3292)  1 Mg 2.99
I (0.8354, 0.8354, 0.6708)  1 Mg 2.99
Cl (0.0000, 0.5000, 0.0000)  2 Mg 2.52
Cl (0.5000, 0.0000, 0.0000)  2 Mg 2.52

As for the symmetry: I4/mmm. The total magnetic moment is 0.0 μB per cell. The uncorrected formation energy is -1.118 eV/atom.

No. 8
Entry from the Alexandria database: a geometry-optimized TiSn2Ir structure (PBE-GGA).

a b c (Å): 3.1535 3.1535 9.9405
angles (deg): 80.87 80.87 60.00
Last column: nearest neighbours and their distance in Å.
Fractional positions:
Ir (0.5000, 0.5000, 0.5000)  6 Sn 2.77
Sn (0.0953, 0.0953, 0.7141)  3 Ir 2.77, 1 Ti 2.79
Sn (0.9047, 0.9047, 0.2859)  3 Ir 2.77, 1 Ti 2.79
Ti (0.0000, 0.0000, 0.0000)  2 Sn 2.79

The value obtained for the energy relative to the elements is 0.241 eV/atom. As for the symmetry: R-3m. The total magnetic moment is 0.0 μB per cell.

No. 9
Entry from the Alexandria database: a geometry-optimized AgSnIN2 structure (PBE-GGA).

a b c (Å): 4.0804 4.0804 7.1367
angles (deg): 90.00 90.00 90.00
Last column: nearest neighbours and their distance in Å.
Fractional positions:
I (0.0000, 0.0000, 0.5000)  4 Ag 2.89
Sn (0.0000, 0.0000, 0.0000)  4 N 2.04
Ag (0.5000, 0.5000, 0.5000)  4 I 2.89
N (0.0000, 0.5000, 0.0000)  2 Sn 2.04
N (0.5000, 0.0000, 0.0000)  2 Sn 2.04

As for the symmetry: P4/mmm. The total magnetic moment is 0.0 μB per cell. The uncorrected formation energy is 1.207 eV/atom.

No. 10
Entry from the Alexandria database: a geometry-optimized ReSb2O structure (PBE-GGA).

a b c (Å): 5.6272 5.6272 6.8707
angles (deg): 65.83 65.83 90.00
Last column: nearest neighbours and their distance in Å.
Fractional positions:
Re (0.0000, 0.0000, 0.0000)  4 Sb 2.55
Re (0.7500, 0.2500, 0.5000)  4 Sb 2.55
O (0.5000, 0.5000, 0.0000)  4 Sb 2.32
O (0.2500, 0.7500, 0.5000)  4 Sb 2.32
Sb (0.5896, 0.1250, 0.2500)  2 O 2.32, 2 Re 2.55
Sb (0.1604, 0.6250, 0.2500)  2 O 2.32, 2 Re 2.55
Sb (0.3750, 0.4104, 0.7500)  2 O 2.32, 2 Re 2.55
Sb (0.8750, 0.8396, 0.7500)  2 O 2.32, 2 Re 2.55

As for the symmetry: I-42d. The total magnetic moment is 0.0 μB per cell. The uncorrected formation energy is 0.353 eV/atom.

No. 11
Entry from the Alexandria database: a geometry-optimized BaZrPdS3 structure (PBE-GGA).

a b c (Å): 3.9110 8.0330 9.1883
angles (deg): 108.17 90.00 90.00
Last column: nearest neighbours and their distance in Å.
Fractional positions:
Ba (0.2500, 0.2257, 0.2649)  7 S 3.15-3.45
Ba (0.7500, 0.7743, 0.7351)  7 S 3.15-3.45
Zr (0.2500, 0.6933, 0.1699)  6 S 2.51-2.70
Zr (0.7500, 0.3067, 0.8301)  6 S 2.51-2.70
Pd (0.2500, 0.1080, 0.6053)  3 S 2.44-2.48
Pd (0.7500, 0.8920, 0.3947)  3 S 2.44-2.48
S (0.7500, 0.8949, 0.1300)  1 Pd 2.44, 2 Zr 2.64
S (0.2500, 0.1051, 0.8700)  1 Pd 2.44, 2 Zr 2.64
S (0.2500, 0.7333, 0.4522)  2 Pd 2.48, 1 Zr 2.51
S (0.7500, 0.2667, 0.5478)  2 Pd 2.48, 1 Zr 2.51
S (0.7500, 0.4531, 0.1355)  3 Zr 2.68-2.70
S (0.2500, 0.5469, 0.8645)  3 Zr 2.68-2.70

As for the symmetry: P2_1/m. The total magnetic moment is 0.0 μB per cell. The uncorrected formation energy is -1.497 eV/atom.

No. 12
Entry from the Alexandria database: a geometry-optimized Ba2TlAu2 structure (PBE-GGA).

a b c (Å): 6.3415 6.3415 6.3334
angles (deg): 59.96 59.96 90.00
Last column: nearest neighbours and their distance in Å.
Fractional positions:
Tl (0.0000, 0.0000, 0.0000)  2 Au 3.12
Au (0.3487, 0.3487, 0.3026)  1 Au 2.71
Au (0.6513, 0.6513, 0.6974)  1 Au 2.71
Ba (0.7500, 0.2500, 0.5000)  4 Au 3.29
Ba (0.2500, 0.7500, 0.5000)  4 Au 3.29

The value obtained for the energy relative to the elements is -0.480 eV/atom. As for the symmetry: I4/mmm. The total magnetic moment is 0.0 μB per cell.

No. 13
Entry from the Alexandria database: a geometry-optimized P3PbN structure (PBE-GGA).

a b c (Å): 4.3173 4.3173 4.3173
angles (deg): 90.00 90.00 90.00
Last column: nearest neighbours and their distance in Å.
Fractional positions:
Pb (0.5000, 0.5000, 0.5000)  12 P 3.05
P (0.0000, 0.5000, 0.0000)  2 N 2.16
P (0.0000, 0.0000, 0.5000)  2 N 2.16
P (0.5000, 0.0000, 0.0000)  2 N 2.16
N (0.0000, 0.0000, 0.0000)  6 P 2.16

As for the symmetry: Pm-3m. The total magnetic moment is 0.0 μB per cell. The uncorrected formation energy is 0.918 eV/atom.